MgTa3H | Alexandria | SCAN | PBEsol geometry; final energy = -207.4 eV for the cell shown; space-group type = Pm-3m, No. 221
1.0
4.186 0.000 0.000
0.000 4.186 0.000
0.000 0.000 4.186
Mg Ta H
1 3 1
direct
0.000 0.000 0.000
0.000 0.500 0.500
0.500 0.000 0.500
0.500 0.500 0.000
0.500 0.500 0.500